Record 1
! Hf2Zn3In3 PBE relaxed; values from VASP
! ΔH_f (0 K)   -0.156 eV per atom
! E   -4.149 eV per atom
! M_tot   0.0 μB/cell
&SYSTEM
  ibrav = 0, nat = 8, ntyp = 3
/
ATOMIC_SPECIES
Hf 178.49 Hf.upf
Zn 65.41 Zn.upf
In 114.82 In.upf
CELL_PARAMETERS angstrom
4.231 0.000 0.000
0.000 4.265 0.000
0.000 0.000 8.509
ATOMIC_POSITIONS crystal
Hf 0.000 0.000 0.244
Hf 0.000 0.000 0.756
Zn 0.500 0.000 0.000
Zn 0.500 0.500 0.236
Zn 0.500 0.500 0.764
In 0.000 0.500 0.000
In 0.000 0.500 0.500
In 0.500 0.000 0.500

Record 2
! TbPr2Sb PBE relaxed; values from VASP
! Energy relative to the elements, uncorrected   -0.5286 eV/atom
! E   -5.106 eV per atom
! M_tot   0.0 μB/cell
! E above lowest polymorph   0.000 eV per atom
&SYSTEM
  ibrav = 0, nat = 8, ntyp = 3
/
ATOMIC_SPECIES
Tb 158.93 Tb.upf
Pr 140.91 Pr.upf
Sb 121.76 Sb.upf
CELL_PARAMETERS angstrom
4.639 0.000 0.000
0.000 4.637 0.000
-2.314 0.000 11.745
ATOMIC_POSITIONS crystal
Tb 0.195 0.250 0.390
Tb 0.805 0.750 0.610
Pr 0.069 0.750 0.139
Pr 0.437 0.750 0.874
Pr 0.563 0.250 0.126
Pr 0.931 0.250 0.861
Sb 0.327 0.250 0.654
Sb 0.673 0.750 0.346

Record 3
! CaEr4Au5 PBE relaxed; values from VASP
! ΔH_f (0 K)   -0.870 eV per atom
! E   -4.534 eV per atom
! M_tot   0.0 μB/cell
&SYSTEM
  ibrav = 0, nat = 10, ntyp = 3
/
ATOMIC_SPECIES
Ca 40.08 Ca.upf
Er 167.26 Er.upf
Au 196.97 Au.upf
CELL_PARAMETERS angstrom
3.558 0.000 0.000
0.000 3.558 0.000
0.000 0.000 18.172
ATOMIC_POSITIONS crystal
Ca 0.000 0.000 0.000
Er 0.000 0.000 0.202
Er 0.000 0.000 0.401
Er 0.000 0.000 0.599
Er 0.000 0.000 0.798
Au 0.500 0.500 0.111
Au 0.500 0.500 0.302
Au 0.500 0.500 0.500
Au 0.500 0.500 0.698
Au 0.500 0.500 0.889

Record 4
! Sm2HgPd8 PBE relaxed; values from VASP
! ΔH_f (0 K)   -0.482 eV per atom
! E   -5.144 eV per atom
! M_tot   0.0 μB/cell
&SYSTEM
  ibrav = 0, nat = 11, ntyp = 3
/
ATOMIC_SPECIES
Sm 150.36 Sm.upf
Hg 200.59 Hg.upf
Pd 106.42 Pd.upf
CELL_PARAMETERS angstrom
7.385 -2.147 0.000
7.385 2.147 0.000
-2.039 0.000 6.331
ATOMIC_POSITIONS crystal
Sm 0.215 0.215 0.165
Sm 0.785 0.785 0.835
Hg 0.500 0.500 0.500
Pd 0.034 0.034 0.223
Pd 0.143 0.143 0.677
Pd 0.330 0.330 0.602
Pd 0.411 0.411 0.056
Pd 0.589 0.589 0.944
Pd 0.670 0.670 0.398
Pd 0.857 0.857 0.323
Pd 0.966 0.966 0.777